VASP calculation (meta-GGA SCAN) on a crystal of Sc3WBr relaxed with PBEsol.

Properties
Its space group is No. 221.

Cell lengths 4.786, 4.786, 4.786 Å; angles 90.00, 90.00, 90.00 degrees
Element x y z (fractional)
Sc  0.000  0.000  0.500
Sc  0.000  0.500  0.000
Sc  0.500  0.000  0.000
W  0.500  0.500  0.500
Br  0.000  0.000  0.000


VASP calculation (meta-GGA SCAN) on a crystal of ScW2Br relaxed with PBEsol.

Properties
Its space group is No. 35. For the distance to the lowest polymorph of the same formula, the calculation gives 0 meV/atom.

Cell lengths 3.267, 5.024, 9.108 Å; angles 90.00, 90.00, 90.00 degrees
Element x y z (fractional)
Sc  0.000  0.000  0.000
Sc  0.500  0.500  0.000
W  0.000  0.000  0.542
W  0.000  0.500  0.753
W  0.500  0.000  0.753
W  0.500  0.500  0.542
Br  0.000  0.500  0.225
Br  0.500  0.000  0.225


VASP calculation (meta-GGA SCAN) on a crystal of ScW2Br relaxed with PBEsol.

Properties
Its space group is No. 139. For the distance to the lowest polymorph of the same formula, the calculation gives 388 meV/atom.

Cell lengths 3.704, 3.704, 10.164 Å; angles 90.00, 90.00, 90.00 degrees
Element x y z (fractional)
Sc  0.000  0.000  0.000
Sc  0.500  0.500  0.500
W  0.000  0.500  0.250
W  0.000  0.500  0.750
W  0.500  0.000  0.250
W  0.500  0.000  0.750
Br  0.000  0.000  0.500
Br  0.500  0.500  0.000


VASP calculation (meta-GGA SCAN) on a crystal of YSc4Br relaxed with PBEsol.

Properties
Its space group is No. 216.

Cell lengths 6.092, 6.092, 6.092 Å; angles 60.00, 60.00, 60.00 degrees
Element x y z (fractional)
Y  0.000  0.000  0.000
Sc  0.117  0.628  0.628
Sc  0.628  0.117  0.628
Sc  0.628  0.628  0.117
Sc  0.628  0.628  0.628
Br  0.250  0.250  0.250


Number 1: uncorrected formation energy 590.6 meV per atom, uncorrected energy -128.906 eV per cell, calculated density 6.04 g cm⁻³. Number 2: uncorrected formation energy 252.6 meV per atom, uncorrected energy -344.124 eV per cell, calculated density 10.94 g cm⁻³. Number 3: uncorrected formation energy 640.7 meV per atom, uncorrected energy -341.019 eV per cell, calculated density 11.73 g cm⁻³. Number 4: uncorrected formation energy 263.2 meV per atom, uncorrected energy -102.672 eV per cell, calculated density 3.62 g cm⁻³.